Below is a geometry-optimized Rb2NaTaCd structure, with properties calculated at the PBE level.

Cell: 6.604 6.604 5.856 Å, 90.00 90.00 90.00°
Fractional positions:
1 Rb 0.000 0.500 0.000
2 Rb 0.500 0.000 0.000
3 Na 0.000 0.000 0.000
4 Ta 0.000 0.000 0.500
5 Cd 0.500 0.500 0.500

Calculated values
Density of states at the Fermi level   5.2 states/eV/cell
Mass density   3.2 g/cm³
Formation energy from the elements   1.377 eV/atom
Calculated volume   255.43 Å³/cell
Space-group type   P4/mmm